# PBE+U KSbMoO5, relaxed
data_KSbMoO5
_cell_length_a 9.251
_cell_length_b 11.890
_cell_length_c 5.830
_cell_angle_alpha 90.00
_cell_angle_beta 107.79
_cell_angle_gamma 90.00
_symmetry_space_group_name_H-M 'P 1 21/c 1'
_symmetry_Int_Tables_number 14
_symmetry_space_group_name_Hall '-P 2ybc'
loop_
_atom_site_label
_atom_site_type_symbol
_atom_site_fract_x
_atom_site_fract_y
_atom_site_fract_z
_atom_site_occupancy
K1 K 0.098 0.144 0.044 1
Sb1 Sb 0.455 0.172 0.788 1
Mo1 Mo 0.224 0.585 0.074 1
O1 O 0.071 0.652 0.141 1
O2 O 0.172 0.561 0.760 1
O3 O 0.268 0.052 0.731 1
O4 O 0.341 0.240 0.469 1
O5 O 0.395 0.672 0.165 1
# Fermi-level density of states = 0.0 states/eV/f.u.
# Uncorrected energy = -202.00 eV for the cell shown
# Total magnetic moment = 0.00 μB per cell